Entry 1:
A relaxed structure of YMgCd3, computed with GGA-PBEsol.

**Formation energy**: 0.797 eV per atom
**Magnetic moment**: 0.0001 μB per atom
**Total DFT energy (no corrections)**: -1.63 eV/atom
**DOS(E_F)**: 5.50 states/eV per cell
**Calculated density**: 4.020 g cm⁻³

Lattice parameters (Å, degrees): 5.7087 5.7087 5.7087 90.00 90.00 90.00
Atoms (fractional coordinates):
Y1 0.0000 0.0000 0.0000
Mg1 0.5000 0.5000 0.5000
Cd1 0.0000 0.0000 0.5000
Cd2 0.0000 0.5000 0.0000
Cd3 0.5000 0.0000 0.0000

---

Entry 2:
A relaxed structure of YTa2Fe2, computed with GGA-PBEsol.

**Formation energy**: -0.100 eV per atom
**Magnetic moment**: 0.0000 μB per atom
**Total DFT energy (no corrections)**: -10.07 eV/atom
**DOS(E_F)**: 2.96 states/eV per cell
**Calculated density**: 10.845 g cm⁻³

Lattice parameters (Å, degrees): 5.7244 5.7244 5.7244 137.02 137.02 62.41
Atoms (fractional coordinates):
Y1 0.0000 0.0000 0.0000
Ta1 0.2500 0.7500 0.5000
Ta2 0.7500 0.2500 0.5000
Fe1 0.3866 0.3866 0.0000
Fe2 0.6134 0.6134 0.0000

---

Entry 3:
A relaxed structure of Sb2MoSe, computed with GGA-PBEsol.

**Magnetic moment**: 0.0009 μB per atom
**Total DFT energy (no corrections)**: -5.65 eV/atom
**DOS(E_F)**: 3.69 states/eV per cell
**Energy relative to the elements, uncorrected**: 0.533 eV per atom
**Calculated density**: 8.533 g cm⁻³

Lattice parameters (Å, degrees): 3.2941 4.7662 5.1864 90.00 90.00 90.00
Atoms (fractional coordinates):
Sb1 0.0000 0.0000 0.0000
Sb2 0.5000 0.0000 0.5000
Mo1 0.0000 0.5000 0.5000
Se1 0.5000 0.5000 0.0000

---

Entry 4:
A relaxed structure of FeOsPt2, computed with GGA-PBEsol.

**Formation energy**: 0.090 eV per atom
**Magnetic moment**: 0.7947 μB per atom
**Total DFT energy (no corrections)**: -8.69 eV/atom
**DOS(E_F)**: 4.57 states/eV per cell
**ΔE to the lowest computed polymorph**: 7.0 kJ/mol of atoms
**Calculated density**: 19.052 g cm⁻³

Lattice parameters (Å, degrees): 3.7662 3.7662 3.9095 90.00 90.00 90.00
Atoms (fractional coordinates):
Fe1 0.0000 0.0000 0.0000
Os1 0.5000 0.5000 0.0000
Pt1 0.0000 0.5000 0.5000
Pt2 0.5000 0.0000 0.5000